No. 1
## Al2CrW (PBE)

Data for a relaxed Al2CrW crystal.

The structure in CIF format:
```
data_Al2CrW
_space_group_name_H-M_alt 'P 1'
_space_group_IT_number 1
_space_group_name_Hall 'P 1'
_cell_length_a 2.7458
_cell_length_b 3.9886
_cell_length_c 5.3655
_cell_angle_alpha 90.00
_cell_angle_beta 90.00
_cell_angle_gamma 90.00
loop_
_atom_site_label
_atom_site_type_symbol
_atom_site_fract_x
_atom_site_fract_y
_atom_site_fract_z
Al1 Al 0.0000 0.0000 0.2439
Al2 Al 0.0000 0.0000 0.7561
Cr1 Cr 0.5000 0.5000 0.0000
W1 W 0.5000 0.5000 0.5000
```

Values from the calculation:
* ΔE to the lowest computed polymorph: 165.5 meV/atom
* total moment: 1.71 μB/f.u.
* SG: No. 47
* VASP energy: -29.84 eV/cell

No. 2
## Al2CrW (PBE)

Data for a relaxed Al2CrW crystal.

The structure in CIF format:
```
data_Al2CrW
_space_group_name_H-M_alt 'P 1'
_space_group_IT_number 1
_space_group_name_Hall 'P 1'
_cell_length_a 9.0087
_cell_length_b 9.0087
_cell_length_c 9.0087
_cell_angle_alpha 17.94
_cell_angle_beta 17.94
_cell_angle_gamma 17.94
loop_
_atom_site_label
_atom_site_type_symbol
_atom_site_fract_x
_atom_site_fract_y
_atom_site_fract_z
Al1 Al 0.0000 0.0000 0.0000
Al2 Al 0.2452 0.2452 0.2452
Cr1 Cr 0.7455 0.7455 0.7455
W1 W 0.4936 0.4936 0.4936
```

Values from the calculation:
* ΔE to the lowest computed polymorph: 261.2 meV/atom
* total moment: 1.63 μB/f.u.
* SG: No. 160
* VASP energy: -29.45 eV/cell